No. 1
First-principles (GGA-PBE) data for Ba4AgP after structural relaxation, as listed in the Alexandria database.

Unit cell a=9.9380 b=9.9380 c=9.9380 alpha=90.00 beta=90.00 gamma=90.00
Space group F-43m (No. 216)
Unique sites:
Ba  0.1237  0.1237  0.1237
Ag  0.0000  0.0000  0.5000
P  0.2500  0.2500  0.7500

Computed properties:
Electronic total energy   -2.184 eV per atom
M_tot   0.000 μB/atom
ΔE to the lowest computed polymorph   85.62 kJ/mol of atoms
Formation enthalpy at 0 K   0.475 eV/atom



No. 2
First-principles (GGA-PBE) data for Ba2AgPPd after structural relaxation, as listed in the Alexandria database.

Unit cell a=6.2162 b=6.2162 c=4.4849 alpha=90.00 beta=90.00 gamma=90.00
Space group P4/mmm (No. 123)
Unique sites:
Ba  0.0000  0.5000  0.0000
Ag  0.0000  0.0000  0.5000
P  0.5000  0.5000  0.0000
Pd  0.5000  0.5000  0.5000

Computed properties:
Electronic total energy   -3.980 eV per atom
M_tot   0.000 μB/atom
Formation enthalpy at 0 K   -0.520 eV/atom



No. 3
First-principles (GGA-PBE) data for Ba2AgP3Pt12 after structural relaxation, as listed in the Alexandria database.

Unit cell a=8.3983 b=8.3983 c=18.6509 alpha=90.00 beta=90.00 gamma=120.00
Space group R-3m (No. 166, hexagonal axes)
Unique sites:
Ba  0.0000  0.0000  0.1104
Ag  0.0000  0.0000  0.5000
P  0.0000  0.5000  0.0000
Pt  0.0012  0.5006  0.1205
Pt  0.0506  0.5253  0.3589

Computed properties:
Electronic total energy   -5.540 eV per atom
M_tot   0.000 μB/atom
Formation enthalpy at 0 K   -0.240 eV/atom



No. 4
First-principles (GGA-PBE) data for BaAg3P4S12 after structural relaxation, as listed in the Alexandria database.

Unit cell a=12.9736 b=12.9736 c=10.9945 alpha=90.00 beta=90.00 gamma=120.00
Space group R32 (No. 155, hexagonal axes)
Unique sites:
Ba  0.0000  0.0000  0.0000
Ag  0.0000  0.5427  0.0000
P  0.0000  0.0000  0.5000
P  0.0000  0.4467  0.5000
S  0.0000  0.5986  0.5000
S  0.0000  0.8474  0.5000
S  0.0400  0.2212  0.1676

Computed properties:
Electronic total energy   -4.335 eV per atom
M_tot   0.000 μB/atom
Uncorrected formation energy   -253 meV/atom



No. 5
First-principles (GGA-PBE) data for BaAgP2S after structural relaxation, as listed in the Alexandria database.

Unit cell a=6.0788 b=6.0788 c=5.7552 alpha=90.00 beta=90.00 gamma=90.00
Space group P4/mmm (No. 123)
Unique sites:
Ba  0.0000  0.0000  0.0000
Ag  0.5000  0.5000  0.5000
P  0.0000  0.5000  0.0000
S  0.0000  0.0000  0.5000

Computed properties:
Electronic total energy   -2.749 eV per atom
M_tot   0.807 μB/atom
ΔE to the lowest computed polymorph   115.51 kJ/mol of atoms
Uncorrected formation energy   1195 meV/atom



No. 6
First-principles (GGA-PBE) data for BaAg2P2S7 after structural relaxation, as listed in the Alexandria database.

Unit cell a=6.5867 b=6.5867 c=29.8648 alpha=90.00 beta=90.00 gamma=120.00
Space group R32 (No. 155, hexagonal axes)
Unique sites:
Ba  0.0000  0.0000  0.0000
Ag  0.0000  0.0000  0.2480
P  0.0000  0.0000  0.4281
S  0.0000  0.0000  0.5000
S  0.0221  0.3837  0.2566

Computed properties:
Electronic total energy   -4.327 eV per atom
M_tot   0.000 μB/atom
Uncorrected formation energy   -382 meV/atom



No. 7
First-principles (GGA-PBE) data for BaAgP2S after structural relaxation, as listed in the Alexandria database.

Unit cell a=4.8675 b=4.8675 c=5.2207 alpha=90.00 beta=90.00 gamma=90.00
Space group P4/mmm (No. 123)
Unique sites:
Ba  0.0000  0.0000  0.0000
Ag  0.5000  0.5000  0.5000
P  0.0000  0.5000  0.5000
S  0.5000  0.5000  0.0000

Computed properties:
Electronic total energy   -3.946 eV per atom
M_tot   0.000 μB/atom
ΔE to the lowest computed polymorph   0.00 kJ/mol of atoms
Uncorrected formation energy   -2 meV/atom



No. 8
First-principles (GGA-PBE) data for Ba3AgP2S8 after structural relaxation, as listed in the Alexandria database.

Unit cell a=6.8628 b=6.8628 c=8.8649 alpha=90.00 beta=90.00 gamma=120.00
Space group P-3m1 (No. 164)
Unique sites:
Ba  0.0000  0.0000  0.0000
Ba  0.3333  0.6667  0.6283
Ag  0.0000  0.0000  0.5000
P  0.3333  0.6667  0.2070
S  0.1709  0.3419  0.3025
S  0.3333  0.6667  0.9790

Computed properties:
Electronic total energy   -4.783 eV per atom
M_tot   0.000 μB/atom
Uncorrected formation energy   -1036 meV/atom



No. 9
First-principles (GGA-PBE) data for BaAg2PS4 after structural relaxation, as listed in the Alexandria database.

Unit cell a=6.5912 b=7.1284 c=8.1704 alpha=90.00 beta=90.00 gamma=90.00
Space group I222 (No. 23)
Unique sites:
Ba  0.0000  0.0000  0.0000
Ag  0.0000  0.5000  0.1889
P  0.0000  0.0000  0.5000
S  0.1808  0.1844  0.6583

Computed properties:
Electronic total energy   -4.255 eV per atom
M_tot   0.000 μB/atom
Uncorrected formation energy   -562 meV/atom



No. 10
First-principles (GGA-PBE) data for BaAgPS4 after structural relaxation, as listed in the Alexandria database.

Unit cell a=7.1100 b=7.1100 c=8.3660 alpha=90.00 beta=90.00 gamma=90.00
Space group I-4 (No. 82)
Unique sites:
Ba  0.0000  0.0000  0.0000
Ag  0.0000  0.0000  0.5000
P  0.0000  0.5000  0.2500
S  0.1431  0.2908  0.3706

Computed properties:
Electronic total energy   -4.582 eV per atom
M_tot   0.000 μB/atom
Uncorrected formation energy   -768 meV/atom



No. 11
First-principles (GGA-PBE) data for BaAgSbP2 after structural relaxation, as listed in the Alexandria database.

Unit cell a=5.1182 b=5.1182 c=6.5910 alpha=90.00 beta=90.00 gamma=90.00
Space group P4/mmm (No. 123)
Unique sites:
Ba  0.0000  0.0000  0.0000
Ag  0.5000  0.5000  0.0000
Sb  0.0000  0.0000  0.5000
P  0.0000  0.5000  0.5000

Computed properties:
Electronic total energy   -3.387 eV per atom
M_tot   0.000 μB/atom
Uncorrected formation energy   556 meV/atom



No. 12
First-principles (GGA-PBE) data for BaAgPSe4 after structural relaxation, as listed in the Alexandria database.

Unit cell a=7.5491 b=7.5491 c=8.3598 alpha=90.00 beta=90.00 gamma=90.00
Space group I-4 (No. 82)
Unique sites:
Ba  0.0000  0.0000  0.0000
Ag  0.0000  0.0000  0.5000
P  0.0000  0.5000  0.7500
Se  0.1499  0.2834  0.6256

Computed properties:
Electronic total energy   -4.078 eV per atom
M_tot   0.000 μB/atom
Uncorrected formation energy   -632 meV/atom